VASP calculation (PBE) on a relaxed structure of KMgTe.

abc: 6.9367 6.9379 4.0858
angles: 72.86 72.89 34.25
Element x y z (fractional)
Te (0.7126, 0.7126, 0.2874)
Mg (0.2825, 0.2825, 0.7175)
K (0.0050, 0.0050, 0.9950)

Polymorph energy (0 for the lowest one) ... 59 meV/atom
Uncorrected energy ... -2.44 eV/atom

***

VASP calculation (PBE) on a relaxed structure of KMgTe2.

abc: 4.1671 3.5903 8.6481
angles: 78.56 90.00 90.00
Element x y z (fractional)
K (0.5000, 0.2500, 0.2500)
Mg (0.5000, 0.7500, 0.7500)
Te (0.0000, 0.6077, 0.5352)
Te (0.0000, 0.8923, 0.9648)

Uncorrected energy ... -2.93 eV/atom